i | VASP calculation (PBEsol) on a relaxed Y5Al3 crystal.

a = 5.6811 Å, b = 8.8975 Å, c = 8.8975 Å
α = 84.15°, β = 71.38°, γ = 71.38°
With the nearest neighbours (Å) after each atom.
Element x y z (fractional)
Al  0.7500  0.0000  0.0000  2 Al 2.84, 8 Y 3.14
Al  0.1611  0.1778  0.5000  10 Y 3.07-3.31
Y  0.4161  0.8650  0.3028  6 Al 3.12-3.31, 3 Y 3.32-3.47
Y  0.2500  0.5000  0.5000  2 Y 2.84, 4 Al 3.07
Y  0.5839  0.1350  0.6972  6 Al 3.12-3.31, 3 Y 3.32-3.47
Y  0.7811  0.1350  0.3028  6 Al 3.12-3.31, 3 Y 3.32-3.47
Al  0.3389  0.5000  0.8222  10 Y 3.07-3.31
Y  0.9161  0.3028  0.8650  6 Al 3.12-3.31, 3 Y 3.32-3.47
Al  0.2500  0.0000  0.0000  2 Al 2.84, 8 Y 3.14
Al  0.6611  0.5000  0.1778  10 Y 3.07-3.31
Al  0.8389  0.8222  0.5000  10 Y 3.07-3.31
Y  0.2189  0.8650  0.6972  6 Al 3.12-3.31, 3 Y 3.32-3.47
Y  0.2811  0.3028  0.1350  6 Al 3.12-3.31, 3 Y 3.32-3.47
Y  0.0839  0.6972  0.1350  6 Al 3.12-3.31, 3 Y 3.32-3.47
Y  0.7500  0.5000  0.5000  2 Y 2.84, 4 Al 3.07
Y  0.7189  0.6972  0.8650  6 Al 3.12-3.31, 3 Y 3.32-3.47

Summary:
SG: I4/mcm

***

ii | VASP calculation (PBEsol) on a relaxed Y5Al3 crystal.

a = 6.2617 Å, b = 8.7926 Å, c = 8.7926 Å
α = 120.00°, β = 90.00°, γ = 90.00°
With the nearest neighbours (Å) after each atom.
Element x y z (fractional)
Al  0.2500  0.5983  0.5983  9 Y 3.08-3.44
Al  0.7500  0.4017  0.4017  9 Y 3.08-3.44
Y  0.5000  0.6667  0.3333  6 Al 3.10, 2 Y 3.13
Y  0.2500  0.2390  0.2390  5 Al 3.08-3.44
Al  0.2500  0.0000  0.4017  9 Y 3.08-3.44
Y  0.7500  0.0000  0.2390  5 Al 3.08-3.44
Y  0.2500  0.0000  0.7610  5 Al 3.08-3.44
Y  0.0000  0.6667  0.3333  6 Al 3.10, 2 Y 3.13
Y  0.7500  0.7610  0.7610  5 Al 3.08-3.44
Y  0.7500  0.2390  0.0000  5 Al 3.08-3.44
Y  0.5000  0.3333  0.6667  6 Al 3.10, 2 Y 3.13
Al  0.7500  0.5983  0.0000  9 Y 3.08-3.44
Al  0.2500  0.4017  0.0000  9 Y 3.08-3.44
Y  0.2500  0.7610  0.0000  5 Al 3.08-3.44
Al  0.7500  0.0000  0.5983  9 Y 3.08-3.44
Y  0.0000  0.3333  0.6667  6 Al 3.10, 2 Y 3.13

Summary:
SG: P6_3/mcm

***

Calculated relative energies: i 0.0; ii 4.5, given in kJ/mol of atoms